The following is a PBE calculation of a geometry-optimized NaPt2 structure, from Alexandria.

Summary:
Total magnetic moment: 0.000 μB/cell
Energy above the lowest structure with this stoichiometry: 0.465 eV/atom
Formation energy: 0.23 eV/f.u.
SG: P-62m
Final energy: -13.2 eV/f.u.

Cell: 8.0157 8.0157 2.6814 Å, 90.00 90.00 120.00°
With the nearest neighbours (Å) after each atom.
Sites, in units of the cell vectors:
Na1 0.0000 0.0000 0.5000  2 Na 2.68, 9 Pt 2.79-2.88
Na2 0.3333 0.6667 0.0000  2 Na 2.68, 9 Pt 2.73-2.94
Na3 0.6667 0.3333 0.0000  2 Na 2.68, 9 Pt 2.73-2.94
Pt1 0.6817 0.6817 0.0000  8 Pt 2.68-2.99, 4 Na 2.73-2.88
Pt2 0.3478 0.3478 0.5000  8 Pt 2.68-2.99, 5 Na 2.79-2.94
Pt3 0.0000 0.3183 0.0000  8 Pt 2.68-2.99, 4 Na 2.73-2.88
Pt4 0.0000 0.6522 0.5000  8 Pt 2.68-2.99, 5 Na 2.79-2.94
Pt5 0.3183 0.0000 0.0000  8 Pt 2.68-2.99, 4 Na 2.73-2.88
Pt6 0.6522 0.0000 0.5000  8 Pt 2.68-2.99, 5 Na 2.79-2.94